(1)
Material: Hg3Se4
Method: DFT, GGA-PBE
State: relaxed

Structure (POSCAR):
```
Hg3Se4
1.0
-1.350 0.626 5.490
-4.758 -3.005 -0.827
2.809 -4.789 1.237
Se Hg
4 3
Direct
0.500 0.500 0.000 Se
0.000 0.500 0.500 Se
0.000 0.000 0.000 Se
0.500 0.000 0.500 Se
0.000 0.500 0.000 Hg
0.500 0.000 0.000 Hg
0.000 0.000 0.500 Hg
```

Its symmetry is No. 221. The value obtained for the total magnetic moment is 1.326 Bohr magnetons per cell. For the relative energy among the computed polymorphs, the calculation gives 0.159 eV per atom. The value obtained for the energy is -1.920 eV per atom. The value obtained for the raw formation energy is 0.200 eV/atom.

(2)
Material: Tl2TcPb
Method: DFT, GGA-PBE
State: relaxed

Structure (POSCAR):
```
Tl2TcPb
1.0
10.821 0.006 0.003
10.317 3.264 0.003
10.317 1.596 2.847
Tl Pb Tc
2 1 1
Direct
0.013 0.013 0.013 Tl
0.255 0.255 0.255 Tl
0.483 0.483 0.483 Pb
0.749 0.749 0.749 Tc
```

Its symmetry is No. 160. The value obtained for the total magnetic moment is 0.000 Bohr magnetons per cell. For the relative energy among the computed polymorphs, the calculation gives 0.046 eV per atom. The value obtained for the energy is -4.221 eV per atom. As for the formation energy: 481 meV per atom.

(3)
Material: NaNdAg2
Method: DFT, GGA-PBE
State: relaxed

Structure (POSCAR):
```
NaNdAg2
1.0
5.178 0.000 0.000
2.589 4.484 0.000
2.589 1.495 4.228
Na Ag Nd
1 2 1
Direct
0.500 0.500 0.500 Na
0.750 0.750 0.750 Ag
0.250 0.250 0.250 Ag
0.000 0.000 0.000 Nd
```

Its symmetry is No. 225. The value obtained for the total magnetic moment is 0.000 Bohr magnetons per cell. For the relative energy among the computed polymorphs, the calculation gives 0.000 eV per atom. The value obtained for the energy is -3.064 eV per atom. As for the formation energy: -116 meV per atom.

(4)
Material: Ca2MgCd4In3
Method: DFT, GGA-PBE
State: relaxed

Structure (POSCAR):
```
Ca2MgCd4In3
1.0
4.444 0.000 0.000
0.000 4.444 0.000
0.000 0.000 13.331
Cd Ca In Mg
4 2 3 1
Direct
0.000 0.500 0.356 Cd
0.000 0.000 0.000 Cd
0.500 0.500 0.000 Cd
0.500 0.000 0.644 Cd
0.500 0.000 0.251 Ca
0.000 0.500 0.749 Ca
0.500 0.000 0.855 In
0.000 0.000 0.500 In
0.000 0.500 0.145 In
0.500 0.500 0.500 Mg
```

Its symmetry is No. 115. The value obtained for the total magnetic moment is 0.000 Bohr magnetons per cell. The value obtained for the energy is -1.962 eV per atom. As for the formation energy: -214 meV per atom.

(5)
Material: LiMn2Cl
Method: DFT, GGA-PBE
State: relaxed

Structure (POSCAR):
```
LiMn2Cl
1.0
8.621 -0.103 -0.061
8.118 2.903 -0.061
8.118 1.358 2.567
Li Mn Cl
1 2 1
Direct
0.750 0.750 0.750 Li
0.505 0.505 0.505 Mn
0.995 0.995 0.995 Mn
0.250 0.250 0.250 Cl
```

Its symmetry is No. 166. The value obtained for the total magnetic moment is 7.859 Bohr magnetons per cell. For the relative energy among the computed polymorphs, the calculation gives 0.428 eV per atom. The value obtained for the energy is -5.296 eV per atom. The value obtained for the raw formation energy is 0.229 eV/atom.

(6)
Material: TbCoIr
Method: DFT, GGA-PBE
State: relaxed

Structure (POSCAR):
```
TbCoIr
1.0
4.427 0.000 2.486
1.568 4.361 2.393
-0.017 0.027 5.215
Co Ir Tb
2 2 2
Direct
0.000 0.000 0.000 Co
0.500 0.000 0.000 Co
0.500 0.500 0.000 Ir
0.500 0.000 0.500 Ir
0.122 0.628 0.628 Tb
0.878 0.372 0.372 Tb
```

Its symmetry is No. 74. The value obtained for the total magnetic moment is 1.731 Bohr magnetons per cell. The value obtained for the energy is -7.408 eV per atom. As for the formation energy: -543 meV per atom.